Record 1
{
  "formula": "Pr4Ni2Cl5",
  "functional": "PBE",
  "state": "optimized geometry",
  "lattice_angstrom": [[-1.933, 4.210, 9.011], [1.933, -4.210, 9.011], [1.933, 4.210, -9.011]],
  "species": ["Pr", "Pr", "Pr", "Pr", "Ni", "Ni", "Cl", "Cl", "Cl", "Cl", "Cl"],
  "fractional_positions": [[0.200, 0.200, 0.000], [0.223, 0.500, 0.723], [0.777, 0.500, 0.277], [0.800, 0.800, 0.000], [0.061, 0.061, 0.000], [0.939, 0.939, 0.000], [0.101, 0.330, 0.771], [0.441, 0.670, 0.771], [0.500, 0.000, 0.500], [0.559, 0.330, 0.229], [0.899, 0.670, 0.229]],
  "crystal_system": "orthorhombic",
  "e_tot_ev_per_cell": -54.5,
  "formation_energy_uncorrected_mev_per_atom": -1328.8
}

***

Record 2
{
  "formula": "Pr2NiCl2",
  "functional": "PBE",
  "state": "optimized geometry",
  "lattice_angstrom": [[2.017, 1.165, 10.517], [-2.017, 1.165, 10.517], [0.000, -2.329, 10.517]],
  "species": ["Pr", "Pr", "Ni", "Cl", "Cl"],
  "fractional_positions": [[0.114, 0.114, 0.114], [0.886, 0.886, 0.886], [0.500, 0.500, 0.500], [0.277, 0.277, 0.277], [0.723, 0.723, 0.723]],
  "crystal_system": "trigonal",
  "e_tot_ev_per_cell": -25.4,
  "formation_energy_uncorrected_mev_per_atom": -1280.7
}

***

Record 3
{
  "formula": "PrNiCl",
  "functional": "PBE",
  "state": "optimized geometry",
  "lattice_angstrom": [[3.536, -2.043, 0.000], [3.536, 2.043, 0.000], [-2.369, 0.000, 10.714]],
  "species": ["Pr", "Pr", "Ni", "Ni", "Cl", "Cl"],
  "fractional_positions": [[0.060, 0.060, 0.180], [0.940, 0.940, 0.820], [0.339, 0.339, 0.017], [0.661, 0.661, 0.983], [0.218, 0.218, 0.656], [0.782, 0.782, 0.344]],
  "crystal_system": "monoclinic",
  "e_tot_ev_per_cell": -32.0,
  "formation_energy_uncorrected_mev_per_atom": -1197.0
}

***

Record 4
{
  "formula": "Pr2NiCl",
  "functional": "PBE",
  "state": "optimized geometry",
  "lattice_angstrom": [[3.444, 0.000, 0.000], [0.000, 3.444, 0.000], [0.000, 0.000, 8.087]],
  "species": ["Pr", "Pr", "Ni", "Cl"],
  "fractional_positions": [[0.000, 0.000, 0.216], [0.000, 0.000, 0.784], [0.500, 0.500, 0.000], [0.500, 0.500, 0.500]],
  "polymorph_energy_kj_per_mol_fu": 60.3,
  "crystal_system": "tetragonal",
  "e_tot_ev_per_cell": -20.1,
  "formation_energy_uncorrected_mev_per_atom": -738.9
}

***

Record 5
{
  "formula": "Pr4NiCl5",
  "functional": "PBE",
  "state": "optimized geometry",
  "lattice_angstrom": [[9.297, -2.010, 0.000], [9.297, 2.010, 0.000], [-2.405, 0.000, 8.138]],
  "species": ["Pr", "Pr", "Pr", "Pr", "Ni", "Cl", "Cl", "Cl", "Cl", "Cl"],
  "fractional_positions": [[0.002, 0.002, 0.276], [0.344, 0.344, 0.390], [0.656, 0.656, 0.610], [0.998, 0.998, 0.724], [0.500, 0.500, 0.500], [0.164, 0.164, 0.856], [0.172, 0.172, 0.367], [0.500, 0.500, 0.000], [0.828, 0.828, 0.633], [0.836, 0.836, 0.144]],
  "crystal_system": "monoclinic",
  "e_tot_ev_per_cell": -50.1,
  "formation_energy_uncorrected_mev_per_atom": -1600.4
}

***

Record 6
{
  "formula": "Pr3Ni5Cl12",
  "functional": "PBE",
  "state": "optimized geometry",
  "lattice_angstrom": [[-7.520, 7.520, 7.520], [7.520, -7.520, 7.520], [7.520, 7.520, -7.520]],
  "species": ["Pr", "Pr", "Pr", "Pr", "Pr", "Pr", "Pr", "Pr", "Pr", "Pr", "Pr", "Pr", "Ni", "Ni", "Ni", "Ni", "Ni", "Ni", "Ni", "Ni", "Ni", "Ni", "Ni", "Ni", "Ni", "Ni", "Ni", "Ni", "Ni", "Ni", "Ni", "Ni", "Cl", "Cl", "Cl", "Cl", "Cl", "Cl", "Cl", "Cl", "Cl", "Cl", "Cl", "Cl", "Cl", "Cl", "Cl", "Cl", "Cl", "Cl", "Cl", "Cl", "Cl", "Cl", "Cl", "Cl", "Cl", "Cl", "Cl", "Cl", "Cl", "Cl", "Cl", "Cl", "Cl", "Cl", "Cl", "Cl", "Cl", "Cl", "Cl", "Cl", "Cl", "Cl", "Cl", "Cl", "Cl", "Cl", "Cl", "Cl"],
  "fractional_positions": [[0.125, 0.250, 0.375], [0.125, 0.375, 0.750], [0.250, 0.375, 0.125], [0.250, 0.875, 0.625], [0.375, 0.125, 0.250], [0.375, 0.750, 0.125], [0.625, 0.250, 0.875], [0.625, 0.875, 0.750], [0.750, 0.125, 0.375], [0.750, 0.625, 0.875], [0.875, 0.625, 0.250], [0.875, 0.750, 0.625], [0.000, 0.000, 0.000], [0.000, 0.000, 0.500], [0.000, 0.500, 0.000], [0.000, 0.500, 0.500], [0.125, 0.750, 0.875], [0.125, 0.875, 0.250], [0.250, 0.125, 0.875], [0.250, 0.625, 0.375], [0.375, 0.250, 0.625], [0.375, 0.625, 0.750], [0.500, 0.000, 0.000], [0.500, 0.000, 0.500], [0.500, 0.500, 0.000], [0.500, 0.500, 0.500], [0.625, 0.375, 0.250], [0.625, 0.750, 0.375], [0.750, 0.375, 0.625], [0.750, 0.875, 0.125], [0.875, 0.125, 0.750], [0.875, 0.250, 0.125], [0.029, 0.209, 0.118], [0.029, 0.320, 0.911], [0.089, 0.618, 0.409], [0.089, 0.971, 0.680], [0.091, 0.709, 0.680], [0.091, 0.882, 0.411], [0.118, 0.029, 0.209], [0.118, 0.589, 0.909], [0.180, 0.209, 0.591], [0.180, 0.471, 0.589], [0.209, 0.118, 0.029], [0.209, 0.591, 0.180], [0.291, 0.320, 0.909], [0.291, 0.471, 0.382], [0.320, 0.909, 0.291], [0.320, 0.911, 0.029], [0.382, 0.291, 0.471], [0.382, 0.591, 0.911], [0.409, 0.089, 0.618], [0.409, 0.820, 0.791], [0.411, 0.091, 0.882], [0.411, 0.820, 0.529], [0.471, 0.382, 0.291], [0.471, 0.589, 0.180], [0.529, 0.411, 0.820], [0.529, 0.618, 0.709], [0.589, 0.180, 0.471], [0.589, 0.909, 0.118], [0.591, 0.180, 0.209], [0.591, 0.911, 0.382], [0.618, 0.409, 0.089], [0.618, 0.709, 0.529], [0.680, 0.089, 0.971], [0.680, 0.091, 0.709], [0.709, 0.529, 0.618], [0.709, 0.680, 0.091], [0.791, 0.409, 0.820], [0.791, 0.882, 0.971], [0.820, 0.529, 0.411], [0.820, 0.791, 0.409], [0.882, 0.411, 0.091], [0.882, 0.971, 0.791], [0.909, 0.118, 0.589], [0.909, 0.291, 0.320], [0.911, 0.029, 0.320], [0.911, 0.382, 0.591], [0.971, 0.680, 0.089], [0.971, 0.791, 0.882]],
  "crystal_system": "cubic",
  "e_tot_ev_per_cell": -348.4,
  "formation_energy_uncorrected_mev_per_atom": -1084.2
}

***

Record 7
{
  "formula": "Pr2NiCl",
  "functional": "PBE",
  "state": "optimized geometry",
  "lattice_angstrom": [[2.020, 1.166, 7.634], [-2.020, 1.166, 7.634], [0.000, -2.333, 7.634]],
  "species": ["Pr", "Pr", "Ni", "Cl"],
  "fractional_positions": [[0.000, 0.000, 0.000], [0.198, 0.198, 0.198], [0.599, 0.599, 0.599], [0.431, 0.431, 0.431]],
  "polymorph_energy_kj_per_mol_fu": 7.9,
  "crystal_system": "trigonal",
  "e_tot_ev_per_cell": -20.7,
  "formation_energy_uncorrected_mev_per_atom": -874.8
}

***

Record 8
{
  "formula": "Pr2NiCl",
  "functional": "PBE",
  "state": "optimized geometry",
  "lattice_angstrom": [[2.041, 1.178, 7.501], [-2.041, 1.178, 7.501], [0.000, -2.356, 7.501]],
  "species": ["Pr", "Pr", "Ni", "Cl"],
  "fractional_positions": [[0.235, 0.235, 0.235], [0.765, 0.765, 0.765], [0.500, 0.500, 0.500], [0.000, 0.000, 0.000]],
  "polymorph_energy_kj_per_mol_fu": 0.0,
  "crystal_system": "trigonal",
  "e_tot_ev_per_cell": -20.8,
  "formation_energy_uncorrected_mev_per_atom": -895.1
}

***

Record 9
{
  "formula": "Pr4NiPtCl2",
  "functional": "PBE",
  "state": "optimized geometry",
  "lattice_angstrom": [[7.203, 0.000, 0.000], [0.000, 4.175, 0.000], [-2.398, 0.000, 7.485]],
  "species": ["Pr", "Pr", "Pr", "Pr", "Ni", "Pt", "Cl", "Cl"],
  "fractional_positions": [[0.230, 0.000, 0.205], [0.253, 0.500, 0.793], [0.747, 0.500, 0.207], [0.770, 0.000, 0.795], [0.000, 0.500, 0.000], [0.500, 0.000, 0.000], [0.000, 0.000, 0.500], [0.500, 0.500, 0.500]],
  "crystal_system": "monoclinic",
  "e_tot_ev_per_cell": -43.5,
  "formation_energy_uncorrected_mev_per_atom": -1108.4
}

***

Record 10
{
  "formula": "Pr6NiPt2Cl3",
  "functional": "PBE",
  "state": "optimized geometry",
  "lattice_angstrom": [[9.629, -2.099, 0.000], [9.629, 2.099, 0.000], [-2.803, 0.000, 8.458]],
  "species": ["Pr", "Pr", "Pr", "Pr", "Pr", "Pr", "Ni", "Pt", "Pt", "Cl", "Cl", "Cl"],
  "fractional_positions": [[0.008, 0.008, 0.221], [0.324, 0.324, 0.439], [0.348, 0.348, 0.903], [0.652, 0.652, 0.097], [0.676, 0.676, 0.561], [0.992, 0.992, 0.779], [0.500, 0.500, 0.000], [0.166, 0.166, 0.330], [0.834, 0.834, 0.670], [0.164, 0.164, 0.830], [0.500, 0.500, 0.500], [0.836, 0.836, 0.170]],
  "crystal_system": "monoclinic",
  "e_tot_ev_per_cell": -66.3,
  "formation_energy_uncorrected_mev_per_atom": -1182.9
}

***

Record 11
{
  "formula": "Pr6Ni2PtCl3",
  "functional": "PBE",
  "state": "optimized geometry",
  "lattice_angstrom": [[3.579, -6.221, 0.000], [3.579, 6.221, 0.000], [-2.371, 0.000, 7.501]],
  "species": ["Pr", "Pr", "Pr", "Pr", "Pr", "Pr", "Ni", "Ni", "Pt", "Cl", "Cl", "Cl"],
  "fractional_positions": [[0.089, 0.432, 0.796], [0.224, 0.224, 0.204], [0.432, 0.089, 0.796], [0.568, 0.911, 0.204], [0.776, 0.776, 0.796], [0.911, 0.568, 0.204], [0.166, 0.834, 0.000], [0.834, 0.166, 0.000], [0.500, 0.500, 0.000], [0.000, 0.000, 0.500], [0.328, 0.672, 0.500], [0.672, 0.328, 0.500]],
  "crystal_system": "monoclinic",
  "e_tot_ev_per_cell": -64.3,
  "formation_energy_uncorrected_mev_per_atom": -1039.9
}

***

Record 12
{
  "formula": "Pr8Ni3RhCl4",
  "functional": "PBE",
  "state": "optimized geometry",
  "lattice_angstrom": [[4.095, 2.364, 7.537], [-4.095, 2.364, 7.537], [0.000, -4.728, 7.537]],
  "species": ["Pr", "Pr", "Pr", "Pr", "Pr", "Pr", "Pr", "Pr", "Ni", "Ni", "Ni", "Rh", "Cl", "Cl", "Cl", "Cl"],
  "fractional_positions": [[0.231, 0.736, 0.736], [0.234, 0.234, 0.234], [0.264, 0.264, 0.769], [0.264, 0.769, 0.264], [0.736, 0.231, 0.736], [0.736, 0.736, 0.231], [0.766, 0.766, 0.766], [0.769, 0.264, 0.264], [0.000, 0.000, 0.500], [0.000, 0.500, 0.000], [0.500, 0.000, 0.000], [0.500, 0.500, 0.500], [0.000, 0.000, 0.000], [0.000, 0.500, 0.500], [0.500, 0.000, 0.500], [0.500, 0.500, 0.000]],
  "crystal_system": "trigonal",
  "e_tot_ev_per_cell": -85.7,
  "formation_energy_uncorrected_mev_per_atom": -963.9
}